(a)
La3HN2 | PBE | relaxed

abc: 3.6753 5.2986 11.3581
angles: 90.00 90.00 90.00
Last column: nearest neighbours and their distance in Å.
Fractional coordinates of all 12 atoms:
La 0.0000 0.0000 0.0000  2 H 2.65, 4 N 2.66
La 0.0000 0.0000 0.3198  4 N 2.51-2.65, 2 H 2.75
La 0.0000 0.0000 0.6802  4 N 2.51-2.65, 2 H 2.75
La 0.5000 0.5000 0.1802  4 N 2.51-2.65, 2 H 2.75
La 0.5000 0.5000 0.5000  2 H 2.65, 4 N 2.66
La 0.5000 0.5000 0.8198  4 N 2.51-2.65, 2 H 2.75
H 0.0000 0.5000 0.0000  6 La 2.65-2.75
H 0.5000 0.0000 0.5000  6 La 2.65-2.75
N 0.0000 0.5000 0.3306  6 La 2.51-2.66
N 0.0000 0.5000 0.6694  6 La 2.51-2.66
N 0.5000 0.0000 0.1694  6 La 2.51-2.66
N 0.5000 0.0000 0.8306  6 La 2.51-2.66

Properties
As for the spin magnetization: 0.00 μB/atom. Its theoretical density is 6.7 Mg/m³. For the density of states at the Fermi level, the calculation gives 5.19 states/eV per cell. As for the space-group type: Immm, No. 71.

---

(b)
La3HN2 | PBE | relaxed

abc: 6.7210 6.7210 11.5235
angles: 90.00 90.00 148.89
Last column: nearest neighbours and their distance in Å.
Fractional coordinates of all 12 atoms:
La 0.1061 0.8939 0.5871  3 N 2.35-2.48
La 0.1061 0.8939 0.9129  3 N 2.35-2.48
La 0.3868 0.6132 0.7500  2 N 2.30
La 0.6132 0.3868 0.2500  2 N 2.30
La 0.8939 0.1061 0.0871  3 N 2.35-2.48
La 0.8939 0.1061 0.4129  3 N 2.35-2.48
H 0.2913 0.7087 0.2500  6 La 2.92-2.93
H 0.7087 0.2913 0.7500  6 La 2.92-2.93
N 0.0032 0.9968 0.2500  4 La 2.30-2.35
N 0.5000 0.5000 0.0000  4 La 2.48
N 0.5000 0.5000 0.5000  4 La 2.48
N 0.9968 0.0032 0.7500  4 La 2.30-2.35

Properties
As for the spin magnetization: 0.00 μB/atom. Its theoretical density is 5.5 Mg/m³. For the density of states at the Fermi level, the calculation gives 7.80 states/eV per cell. As for the space-group type: Cmcm, No. 63.

---

The calculated energies rank the structures as follows, beginning with the most stable: (a), (b).

---

(a)
La2HN2 | PBE | relaxed

abc: 6.9360 6.9360 3.2896
angles: 90.00 90.00 90.00
Last column: nearest neighbours and their distance in Å.
Fractional coordinates of all 10 atoms:
La 0.1635 0.3365 0.0000  2 N 2.43
La 0.3365 0.8365 0.0000  2 N 2.43
La 0.6635 0.1635 0.0000  2 N 2.43
La 0.8365 0.6635 0.0000  2 N 2.43
H 0.0000 0.0000 0.5000  4 N 2.63
H 0.5000 0.5000 0.5000  4 N 2.63
N 0.1544 0.6544 0.5000  2 La 2.43, 2 H 2.63
N 0.3456 0.1544 0.5000  2 La 2.43, 2 H 2.63
N 0.6544 0.8456 0.5000  2 La 2.43, 2 H 2.63
N 0.8456 0.3456 0.5000  2 La 2.43, 2 H 2.63

Properties
As for the spin magnetization: 0.00 μB/atom. Its theoretical density is 6.4 Mg/m³. For the density of states at the Fermi level, the calculation gives 3.31 states/eV per cell. As for the space-group type: P4/mbm, No. 127.

---

(b)
La2HN2 | PBE | relaxed

abc: 4.1024 4.1024 6.0127
angles: 90.00 90.00 120.00
Last column: nearest neighbours and their distance in Å.
Fractional coordinates of all 5 atoms:
La 0.3333 0.6667 0.2593  4 N 2.41-2.45
La 0.6667 0.3333 0.7407  4 N 2.41-2.45
H 0.0000 0.0000 0.0000  6 La 2.84, 6 N 3.10
N 0.3333 0.6667 0.6670  4 La 2.41-2.45
N 0.6667 0.3333 0.3330  4 La 2.41-2.45

Properties
As for the spin magnetization: 0.00 μB/atom. Its theoretical density is 5.8 Mg/m³. For the density of states at the Fermi level, the calculation gives 4.21 states/eV per cell. As for the space-group type: P-3m1, No. 164.

---

The calculated energies rank the structures as follows, beginning with the most stable: (b), (a).

---

(a)
La4HN2 | PBE | relaxed

abc: 4.8344 4.8344 14.3259
angles: 90.00 90.00 90.00
Last column: nearest neighbours and their distance in Å.
Fractional coordinates of all 14 atoms:
La 0.0000 0.0000 0.2347  1 N 2.05
La 0.0000 0.0000 0.7653  1 N 2.05
La 0.0000 0.5000 0.0000  2 H 2.42
La 0.0000 0.5000 0.5000  2 H 2.42
La 0.5000 0.0000 0.0000  2 H 2.42
La 0.5000 0.0000 0.5000  2 H 2.42
La 0.5000 0.5000 0.2653  1 N 2.05
La 0.5000 0.5000 0.7347  1 N 2.05
H 0.0000 0.0000 0.5000  4 La 2.42
H 0.5000 0.5000 0.0000  4 La 2.42
N 0.0000 0.0000 0.0916  1 La 2.05
N 0.0000 0.0000 0.9084  1 La 2.05
N 0.5000 0.5000 0.4084  1 La 2.05
N 0.5000 0.5000 0.5916  1 La 2.05

Properties
As for the spin magnetization: 0.00 μB/atom. Its theoretical density is 5.8 Mg/m³. For the density of states at the Fermi level, the calculation gives 10.36 states/eV per cell. As for the space-group type: I4/mmm, No. 139.

---

(b)
La4HN2 | PBE | relaxed

abc: 13.1652 13.1652 13.1652
angles: 16.08 16.08 16.08
Last column: nearest neighbours and their distance in Å.
Fractional coordinates of all 7 atoms:
La 0.1159 0.1159 0.1159  3 N 2.51
La 0.2901 0.2901 0.2901  3 N 2.60, 3 H 2.71
La 0.7099 0.7099 0.7099  3 N 2.60, 3 H 2.71
La 0.8841 0.8841 0.8841  3 N 2.51
H 0.0000 0.0000 0.0000  6 La 2.71
N 0.4148 0.4148 0.4148  6 La 2.51-2.60
N 0.5852 0.5852 0.5852  6 La 2.51-2.60

Properties
As for the spin magnetization: 0.00 μB/atom. Its theoretical density is 6.4 Mg/m³. For the density of states at the Fermi level, the calculation gives 4.25 states/eV per cell. As for the space-group type: R-3m, No. 166.

---

The calculated energies rank the structures as follows, beginning with the most stable: (b), (a).

---

(a)
LaHSN2 | PBE | relaxed

abc: 4.9005 4.9005 5.7365
angles: 90.00 90.00 90.00
Last column: nearest neighbours and their distance in Å.
Fractional coordinates of all 5 atoms:
La 0.0000 0.0000 0.0000  4 N 2.45
H 0.5000 0.5000 0.5000  4 S 3.47, 8 N 3.77
S 0.0000 0.0000 0.5000  2 La 2.87
N 0.0000 0.5000 0.0000  2 La 2.45
N 0.5000 0.0000 0.0000  2 La 2.45

Properties
As for the spin magnetization: 1.21 μB/atom. Its theoretical density is 2.4 Mg/m³. For the density of states at the Fermi level, the calculation gives 3.14 states/eV per cell. As for the space-group type: P4/mmm, No. 123.

---

(b)
LaHSN2 | PBE | relaxed

abc: 4.1625 4.1625 3.4400
angles: 90.00 90.00 90.00
Last column: nearest neighbours and their distance in Å.
Fractional coordinates of all 5 atoms:
La 0.0000 0.0000 0.0000  8 N 2.70, 4 S 2.94
H 0.5000 0.5000 0.5000  2 S 1.72
S 0.5000 0.5000 0.0000  2 H 1.72
N 0.0000 0.5000 0.5000  2 H 2.08
N 0.5000 0.0000 0.5000  2 H 2.08

Properties
As for the spin magnetization: 0.00 μB/atom. Its theoretical density is 5.6 Mg/m³. For the density of states at the Fermi level, the calculation gives 2.36 states/eV per cell. As for the space-group type: P4/mmm, No. 123.

---

The calculated energies rank the structures as follows, beginning with the most stable: (b), (a).